Entry 1:
La2NdDy6 | Alexandria via LeMat-Bulk | PBE | relaxed; energy of formation = 0.2219 eV/atom; theoretical density = 7.60 g cm⁻³; calculated total energy = -40.2 eV per cell; space-group type = No. 164
1.0
-3.933 -1.407 -4.364
5.342 -4.224 -3.457
0.726 -7.404 1.729
La Nd Dy
2 1 6
Cartesian
0.961 -8.854 -4.573
1.174 -4.180 -1.519
0.000 0.000 0.000
1.442 -8.014 -1.175
3.774 -9.856 -2.684
3.458 -6.625 -3.439
0.693 -5.020 -4.917
-1.640 -3.178 -3.408
-1.323 -6.409 -2.653

---

Entry 2:
HfMnInIr | Alexandria via LeMat-Bulk | PBE | relaxed; energy of formation = -0.2802 eV/atom; theoretical density = 13.56 g cm⁻³; calculated total energy = -31.8 eV per cell; space-group type = No. 216
1.0
4.540 0.000 0.000
2.270 3.932 0.000
2.270 1.311 3.707
Ir Hf Mn In
1 1 1 1
Cartesian
0.000 0.000 0.000
6.810 3.932 2.780
4.540 2.621 1.853
2.270 1.311 0.927